#P
Compound: NbHgI3
Source: Alexandria
Functional: PBE-GGA
Structure: relaxed

- space-group type = P2_1/m (11)
- V (Å³/cell) = 423.8
- D(E_F) (states/eV/atom) = 0.06

a = 9.485 Å, b = 4.217 Å, c = 11.228 Å
α = 90.00°, β = 109.33°, γ = 90.00°
Element x y z (fractional)
Nb1 0.150 0.250 0.110
Nb2 0.850 0.750 0.890
Hg1 0.282 0.750 0.661
Hg2 0.718 0.250 0.339
I1 0.032 0.250 0.838
I2 0.309 0.250 0.363
I3 0.343 0.750 0.079
I4 0.657 0.250 0.921
I5 0.691 0.750 0.637
I6 0.968 0.750 0.162

#Q
Compound: NbHgI3
Source: Alexandria
Functional: PBE-GGA
Structure: relaxed

- space-group type = Pm-3m (221)
- V (Å³/cell) = 201.4
- D(E_F) (states/eV/atom) = 1.41

a = 5.862 Å, b = 5.862 Å, c = 5.862 Å
α = 90.00°, β = 90.00°, γ = 90.00°
Element x y z (fractional)
Nb1 0.000 0.000 0.000
Hg1 0.500 0.500 0.500
I1 0.000 0.500 0.500
I2 0.500 0.000 0.500
I3 0.500 0.500 0.000

Ordering by calculated energy gives the sequence #P, #Q, with the first entry being the most stable.

#P
Compound: NbHgI2
Source: Alexandria
Functional: PBE-GGA
Structure: relaxed

- space-group type = I-42d (122)
- V (Å³/cell) = 295.8
- D(E_F) (states/eV/atom) = 0.56

a = 7.678 Å, b = 7.678 Å, c = 7.678 Å
α = 98.43°, β = 98.43°, γ = 134.97°
Element x y z (fractional)
Nb1 0.000 0.000 0.000
Nb2 0.750 0.250 0.500
Hg1 0.250 0.750 0.500
Hg2 0.500 0.500 0.000
I1 0.375 0.236 0.361
I2 0.764 0.125 0.139
I3 0.875 0.014 0.639
I4 0.986 0.625 0.861

#Q
Compound: NbHgI2
Source: Alexandria
Functional: PBE-GGA
Structure: relaxed

- space-group type = C2/c (15)
- V (Å³/cell) = 1380.9

a = 8.465 Å, b = 8.465 Å, c = 19.538 Å
α = 96.67°, β = 96.67°, γ = 89.89°
Element x y z (fractional)
Nb1 0.158 0.699 0.799
Nb2 0.300 0.511 0.699
Nb3 0.301 0.842 0.701
Nb4 0.489 0.700 0.801
Nb5 0.511 0.300 0.199
Nb6 0.699 0.158 0.299
Nb7 0.700 0.489 0.301
Nb8 0.842 0.301 0.201
Hg1 0.116 0.757 0.084
Hg2 0.230 0.286 0.426
Hg3 0.243 0.884 0.416
Hg4 0.286 0.230 0.926
Hg5 0.714 0.770 0.074
Hg6 0.757 0.116 0.584
Hg7 0.770 0.714 0.574
Hg8 0.884 0.243 0.916
I1 0.025 0.411 0.743
I2 0.032 0.968 0.750
I3 0.151 0.281 0.119
I4 0.272 0.647 0.575
I5 0.281 0.151 0.619
I6 0.353 0.728 0.925
I7 0.408 0.592 0.250
I8 0.411 0.025 0.243
I9 0.589 0.975 0.757
I10 0.592 0.408 0.750
I11 0.647 0.272 0.075
I12 0.719 0.849 0.381
I13 0.728 0.353 0.425
I14 0.849 0.719 0.881
I15 0.968 0.032 0.250
I16 0.975 0.589 0.257

#R
Compound: NbHgI2
Source: Alexandria
Functional: PBE-GGA
Structure: relaxed

- space-group type = Fm-3m (225)
- V (Å³/cell) = 101.4
- D(E_F) (states/eV/atom) = 0.77

a = 5.234 Å, b = 5.234 Å, c = 5.234 Å
α = 60.00°, β = 60.00°, γ = 60.00°
Element x y z (fractional)
Nb1 0.000 0.000 0.000
Hg1 0.500 0.500 0.500
I1 0.250 0.250 0.250
I2 0.750 0.750 0.750

Ordering by calculated energy gives the sequence #Q, #P, #R, with the first entry being the most stable.

#P
Compound: ZrNbHgI
Source: Alexandria
Functional: PBE-GGA
Structure: relaxed

- space-group type = Pmm2 (25)
- V (Å³/cell) = 89.2
- D(E_F) (states/eV/atom) = 0.76

a = 3.448 Å, b = 4.607 Å, c = 5.618 Å
α = 90.00°, β = 90.00°, γ = 90.00°
Element x y z (fractional)
Zr1 0.000 0.000 0.000
Nb1 0.500 0.000 0.514
Hg1 0.000 0.500 0.668
I1 0.500 0.500 0.189

#Q
Compound: ZrNbHgI
Source: Alexandria
Functional: PBE-GGA
Structure: relaxed

- space-group type = P1 (1)
- V (Å³/cell) = 89.8
- D(E_F) (states/eV/atom) = 0.64

a = 3.400 Å, b = 5.445 Å, c = 5.540 Å
α = 99.92°, β = 107.18°, γ = 107.07°
Element x y z (fractional)
Zr1 0.000 0.000 0.000
Nb1 0.997 0.506 0.484
Hg1 0.655 0.427 0.911
I1 0.673 0.928 0.428

#R
Compound: ZrNbHgI
Source: Alexandria
Functional: PBE-GGA
Structure: relaxed

- space-group type = P1 (1)
- V (Å³/cell) = 88.0
- D(E_F) (states/eV/atom) = 0.49

a = 3.360 Å, b = 5.044 Å, c = 5.565 Å
α = 101.55°, β = 107.41°, γ = 90.08°
Element x y z (fractional)
Zr1 0.000 0.000 0.000
Nb1 0.794 0.382 0.583
Hg1 0.266 0.882 0.528
I1 0.514 0.501 0.026

#S
Compound: ZrNbHgI
Source: Alexandria
Functional: PBE-GGA
Structure: relaxed

- space-group type = Cm (8)
- V (Å³/cell) = 93.0
- D(E_F) (states/eV/atom) = 0.64

a = 5.700 Å, b = 5.700 Å, c = 5.122 Å
α = 96.18°, β = 96.18°, γ = 34.23°
Element x y z (fractional)
Zr1 0.000 0.000 0.000
Nb1 0.374 0.374 0.559
Hg1 0.630 0.630 0.504
I1 0.279 0.279 0.034

Ordering by calculated energy gives the sequence #P, #S, #Q, #R, with the first entry being the most stable.

#P
Compound: ZrNbHgI
Source: Alexandria
Functional: PBE-GGA
Structure: relaxed

- space-group type = Pmm2 (25)
- V (Å³/cell) = 86.3
- D(E_F) (states/eV/atom) = 0.81

a = 3.312 Å, b = 5.009 Å, c = 5.202 Å
α = 90.00°, β = 90.00°, γ = 90.00°
Element x y z (fractional)
Zr1 0.000 0.000 0.000
Nb1 0.000 0.500 0.457
Hg1 0.500 0.000 0.501
I1 0.500 0.500 0.014

#Q
Compound: ZrNbHgI
Source: Alexandria
Functional: PBE-GGA
Structure: relaxed

- space-group type = Cm (8)
- V (Å³/cell) = 105.9
- D(E_F) (states/eV/atom) = 0.29

a = 3.394 Å, b = 3.394 Å, c = 10.298 Å
α = 102.81°, β = 102.81°, γ = 67.82°
Element x y z (fractional)
Zr1 0.000 0.000 0.000
Nb1 0.712 0.712 0.211
Hg1 0.450 0.450 0.424
I1 0.245 0.245 0.782

Ordering by calculated energy gives the sequence #Q, #P, with the first entry being the most stable.

#P
Compound: ZrNbHgI
Source: Alexandria
Functional: PBE-GGA
Structure: relaxed

- space-group type = P1 (1)
- V (Å³/cell) = 105.4
- D(E_F) (states/eV/atom) = 0.35

a = 3.394 Å, b = 3.394 Å, c = 9.904 Å
α = 85.52°, β = 85.27°, γ = 68.14°
Element x y z (fractional)
Zr1 0.000 0.000 0.000
Nb1 0.355 0.360 0.212
Hg1 0.689 0.697 0.425
I1 0.687 0.682 0.780

#Q
Compound: ZrNbHgI
Source: Alexandria
Functional: PBE-GGA
Structure: relaxed

- space-group type = P4mm (99)
- V (Å³/cell) = 99.5
- D(E_F) (states/eV/atom) = 1.35

a = 3.642 Å, b = 3.642 Å, c = 7.500 Å
α = 90.00°, β = 90.00°, γ = 90.00°
Element x y z (fractional)
Zr1 0.000 0.000 0.000
Nb1 0.500 0.500 0.199
Hg1 0.000 0.000 0.403
I1 0.500 0.500 0.781

Ordering by calculated energy gives the sequence #P, #Q, with the first entry being the most stable.

#P
Compound: NdHgI3
Source: Alexandria
Functional: PBE-GGA
Structure: relaxed

- space-group type = R32 (155)
- V (Å³/cell) = 506.1
- D(E_F) (states/eV/atom) = 0.00

a = 9.607 Å, b = 9.607 Å, c = 9.607 Å
α = 51.81°, β = 51.81°, γ = 51.81°
Element x y z (fractional)
Nd1 0.167 0.167 0.167
Nd2 0.833 0.833 0.833
Hg1 0.390 0.390 0.390
Hg2 0.610 0.610 0.610
I1 0.080 0.581 0.081
I2 0.081 0.080 0.581
I3 0.419 0.920 0.919
I4 0.581 0.081 0.080
I5 0.919 0.419 0.920
I6 0.920 0.919 0.419

#Q
Compound: NdHgI3
Source: Alexandria
Functional: PBE-GGA
Structure: relaxed

- space-group type = Pm-3m (221)
- V (Å³/cell) = 241.1
- D(E_F) (states/eV/atom) = 0.00

a = 6.224 Å, b = 6.224 Å, c = 6.224 Å
α = 90.00°, β = 90.00°, γ = 90.00°
Element x y z (fractional)
Nd1 0.000 0.000 0.000
Hg1 0.500 0.500 0.500
I1 0.000 0.000 0.500
I2 0.000 0.500 0.000
I3 0.500 0.000 0.000

Ordering by calculated energy gives the sequence #P, #Q, with the first entry being the most stable.

#P
Compound: NiHg2I
Source: Alexandria
Functional: PBE-GGA
Structure: relaxed

- space-group type = I-42d (122)
- V (Å³/cell) = 251.3
- D(E_F) (states/eV/atom) = 0.31

a = 9.180 Å, b = 9.180 Å, c = 9.180 Å
α = 145.16°, β = 145.16°, γ = 50.10°
Element x y z (fractional)
Ni1 0.000 0.000 0.000
Ni2 0.750 0.250 0.500
Hg1 0.375 0.241 0.366
Hg2 0.759 0.125 0.134
Hg3 0.875 0.009 0.634
Hg4 0.991 0.625 0.866
I1 0.250 0.750 0.500
I2 0.500 0.500 0.000

#Q
Compound: NiHg2I
Source: Alexandria
Functional: PBE-GGA
Structure: relaxed

- space-group type = Fm-3m (225)
- V (Å³/cell) = 100.6
- D(E_F) (states/eV/atom) = 0.59

a = 5.221 Å, b = 5.221 Å, c = 5.221 Å
α = 60.00°, β = 60.00°, γ = 60.00°
Element x y z (fractional)
Ni1 0.000 0.000 0.000
Hg1 0.250 0.250 0.250
Hg2 0.750 0.750 0.750
I1 0.500 0.500 0.500

Ordering by calculated energy gives the sequence #P, #Q, with the first entry being the most stable.

#P
Compound: Ni2HgI
Source: Alexandria
Functional: PBE-GGA
Structure: relaxed

- space-group type = I-42d (122)
- V (Å³/cell) = 188.5
- D(E_F) (states/eV/atom) = 0.71

a = 7.889 Å, b = 7.889 Å, c = 7.889 Å
α = 141.54°, β = 141.54°, γ = 55.53°
Element x y z (fractional)
Ni1 0.088 0.625 0.963
Ni2 0.375 0.338 0.463
Ni3 0.662 0.125 0.037
Ni4 0.875 0.912 0.537
Hg1 0.250 0.750 0.500
Hg2 0.500 0.500 0.000
I1 0.000 0.000 0.000
I2 0.750 0.250 0.500

#Q
Compound: Ni2HgI
Source: Alexandria
Functional: PBE-GGA
Structure: relaxed

- space-group type = Fm-3m (225)
- V (Å³/cell) = 71.0
- D(E_F) (states/eV/atom) = 1.38

a = 4.647 Å, b = 4.647 Å, c = 4.647 Å
α = 60.00°, β = 60.00°, γ = 60.00°
Element x y z (fractional)
Ni1 0.250 0.250 0.250
Ni2 0.750 0.750 0.750
Hg1 0.000 0.000 0.000
I1 0.500 0.500 0.500

Ordering by calculated energy gives the sequence #P, #Q, with the first entry being the most stable.